# 1
Density functional theory data (PBE) for a relaxed Tb2NdTh crystal.

```
data_Tb2NdTh
_symmetry_space_group_name_H-M 'P 1'
_symmetry_Int_Tables_number 1
_symmetry_space_group_name_Hall 'P 1'
_cell_length_a 3.595
_cell_length_b 3.595
_cell_length_c 10.172
_cell_angle_alpha 90.00
_cell_angle_beta 90.00
_cell_angle_gamma 90.00
loop_
_atom_site_label
_atom_site_fract_x
_atom_site_fract_y
_atom_site_fract_z
Tb1 0.000 0.000 0.240
Tb2 0.000 0.000 0.760
Nd1 0.500 0.500 0.500
Th1 0.500 0.500 0.000
```

D(E_F) in states/eV/atom: 1.169
Distance to the lowest polymorph of the same formula in kJ/mol of formula units: 8
Formation enthalpy at 0 K in eV per atom: 0.02



# 2
Density functional theory data (PBE) for a relaxed Tb4Nd3Th crystal.

```
data_Tb4Nd3Th
_symmetry_space_group_name_H-M 'P 1'
_symmetry_Int_Tables_number 1
_symmetry_space_group_name_Hall 'P 1'
_cell_length_a 9.003
_cell_length_b 9.003
_cell_length_c 9.003
_cell_angle_alpha 157.87
_cell_angle_beta 98.72
_cell_angle_gamma 85.53
loop_
_atom_site_label
_atom_site_fract_x
_atom_site_fract_y
_atom_site_fract_z
Tb1 0.115 0.867 0.248
Tb2 0.381 0.133 0.248
Tb3 0.619 0.867 0.752
Tb4 0.885 0.133 0.752
Nd1 0.000 0.500 0.500
Nd2 0.269 0.269 0.000
Nd3 0.731 0.731 0.000
Th1 0.500 0.000 0.500
```

D(E_F) in states/eV/atom: 1.480
Distance to the lowest polymorph of the same formula in kJ/mol of formula units: 70
Formation enthalpy at 0 K in eV per atom: 0.14



# 3
Density functional theory data (PBE) for a relaxed Tb10Nd6Th crystal.

```
data_Tb10Nd6Th
_symmetry_space_group_name_H-M 'P 1'
_symmetry_Int_Tables_number 1
_symmetry_space_group_name_Hall 'P 1'
_cell_length_a 9.736
_cell_length_b 9.736
_cell_length_c 6.976
_cell_angle_alpha 90.00
_cell_angle_beta 90.00
_cell_angle_gamma 120.00
loop_
_atom_site_label
_atom_site_fract_x
_atom_site_fract_y
_atom_site_fract_z
Tb1 0.000 0.273 0.318
Tb2 0.000 0.727 0.682
Tb3 0.273 0.000 0.318
Tb4 0.273 0.273 0.682
Tb5 0.333 0.667 0.000
Tb6 0.333 0.667 0.500
Tb7 0.667 0.333 0.000
Tb8 0.667 0.333 0.500
Tb9 0.727 0.000 0.682
Tb10 0.727 0.727 0.318
Nd1 0.000 0.376 0.801
Nd2 0.000 0.624 0.199
Nd3 0.376 0.000 0.801
Nd4 0.376 0.376 0.199
Nd5 0.624 0.000 0.199
Nd6 0.624 0.624 0.801
Th1 0.000 0.000 0.000
```

D(E_F) in states/eV/atom: 1.478
Formation enthalpy at 0 K in eV per atom: 0.14



# 4
Density functional theory data (PBE) for a relaxed Tb7Nd4Th crystal.

```
data_Tb7Nd4Th
_symmetry_space_group_name_H-M 'P 1'
_symmetry_Int_Tables_number 1
_symmetry_space_group_name_Hall 'P 1'
_cell_length_a 6.794
_cell_length_b 6.794
_cell_length_c 12.825
_cell_angle_alpha 114.92
_cell_angle_beta 114.92
_cell_angle_gamma 52.46
loop_
_atom_site_label
_atom_site_fract_x
_atom_site_fract_y
_atom_site_fract_z
Tb1 0.000 0.000 0.000
Tb2 0.210 0.210 0.924
Tb3 0.249 0.249 0.683
Tb4 0.366 0.366 0.497
Tb5 0.634 0.634 0.503
Tb6 0.751 0.751 0.317
Tb7 0.790 0.790 0.076
Nd1 0.060 0.060 0.329
Nd2 0.361 0.361 0.223
Nd3 0.639 0.639 0.777
Nd4 0.940 0.940 0.671
Th1 0.500 0.500 0.000
```

D(E_F) in states/eV/atom: 1.482
Distance to the lowest polymorph of the same formula in kJ/mol of formula units: 304
Formation enthalpy at 0 K in eV per atom: 0.28